Entry 1:
Density functional theory data (PBE-GGA) for Pm2Ho4Tm5 after structural relaxation.

Computed properties:
Relative energy among the computed polymorphs: 0.139 eV per atom

```
Pm2Ho4Tm5
1.0
8.195 -3.295 0.000
8.195 3.295 0.000
-1.190 0.000 6.508
Pm Ho Tm
2 4 5
Direct
0.199 0.199 0.295
0.801 0.801 0.705
0.243 0.243 0.804
0.413 0.413 0.596
0.587 0.587 0.404
0.757 0.757 0.196
0.000 0.000 0.500
0.174 0.651 0.095
0.349 0.826 0.905
0.651 0.174 0.095
0.826 0.349 0.905
```

---

Entry 2:
Density functional theory data (PBE-GGA) for PmHo5Tm6 after structural relaxation.

```
PmHo5Tm6
1.0
3.046 -5.271 0.000
3.046 5.271 0.000
-2.030 0.000 11.461
Pm Ho Tm
1 5 6
Direct
0.000 0.000 0.000
0.167 0.833 0.500
0.333 0.667 0.000
0.500 0.500 0.500
0.667 0.333 0.000
0.833 0.167 0.500
0.083 0.417 0.251
0.251 0.251 0.749
0.417 0.083 0.251
0.583 0.917 0.749
0.749 0.749 0.251
0.917 0.583 0.749
```

---

Entry 3:
Density functional theory data (PBE-GGA) for Pm4Ho10Tm after structural relaxation.

```
Pm4Ho10Tm
1.0
-5.623 5.623 3.943
5.623 -5.623 3.943
5.623 5.623 -3.943
Pm Ho Tm
4 10 1
Direct
0.229 0.229 0.457
0.229 0.771 0.000
0.771 0.229 0.000
0.771 0.771 0.543
0.084 0.292 0.791
0.250 0.750 0.500
0.292 0.084 0.791
0.292 0.501 0.209
0.499 0.708 0.791
0.501 0.292 0.209
0.708 0.499 0.791
0.708 0.916 0.209
0.750 0.250 0.500
0.916 0.708 0.209
0.000 0.000 0.000
```

---

Entry 4:
Density functional theory data (PBE-GGA) for PmHo12Tm5 after structural relaxation.

```
PmHo12Tm5
1.0
2.486 -7.472 0.000
2.486 7.472 0.000
0.000 0.000 14.944
Pm Ho Tm
1 12 5
Direct
0.000 0.000 0.000
0.000 0.000 0.334
0.000 0.000 0.666
0.167 0.833 0.168
0.167 0.833 0.832
0.333 0.667 0.335
0.333 0.667 0.665
0.500 0.500 0.168
0.500 0.500 0.832
0.667 0.333 0.335
0.667 0.333 0.665
0.833 0.167 0.168
0.833 0.167 0.832
0.167 0.833 0.500
0.332 0.668 0.000
0.500 0.500 0.500
0.668 0.332 0.000
0.833 0.167 0.500
```

---

Entry 5:
Density functional theory data (PBE-GGA) for Pm3Ho3Tm5 after structural relaxation.

```
Pm3Ho3Tm5
1.0
9.601 0.000 0.000
-4.800 8.315 0.000
0.000 0.000 5.427
Pm Ho Tm
3 3 5
Direct
0.000 0.633 0.000
0.367 0.367 0.000
0.633 0.000 0.000
0.000 0.450 0.500
0.450 0.000 0.500
0.550 0.550 0.500
0.000 0.267 0.000
0.267 0.000 0.000
0.333 0.667 0.000
0.667 0.333 0.000
0.733 0.733 0.000
```

---

Entry 6:
Density functional theory data (PBE-GGA) for PmHo12Tm6 after structural relaxation.

Computed properties:
Relative energy among the computed polymorphs: 0.000 eV per atom

```
PmHo12Tm6
1.0
5.885 3.397 5.026
-5.885 3.397 5.026
0.000 -6.795 5.026
Pm Ho Tm
1 12 6
Direct
0.000 0.000 0.000
0.009 0.357 0.209
0.209 0.009 0.357
0.226 0.565 0.457
0.357 0.209 0.009
0.435 0.543 0.774
0.457 0.226 0.565
0.543 0.774 0.435
0.565 0.457 0.226
0.643 0.791 0.991
0.774 0.435 0.543
0.791 0.991 0.643
0.991 0.643 0.791
0.093 0.256 0.688
0.256 0.688 0.093
0.312 0.907 0.744
0.688 0.093 0.256
0.744 0.312 0.907
0.907 0.744 0.312
```

---

Entry 7:
Density functional theory data (PBE-GGA) for PmHo3Tm4 after structural relaxation.

Computed properties:
Relative energy among the computed polymorphs: 0.000 eV per atom

```
PmHo3Tm4
1.0
11.157 0.000 0.000
0.000 7.208 0.000
0.000 0.000 6.225
Pm Ho Tm
2 6 8
Direct
0.000 0.127 0.000
0.500 0.873 0.500
0.000 0.873 0.499
0.250 0.127 0.334
0.250 0.873 0.834
0.500 0.127 0.999
0.750 0.127 0.334
0.750 0.873 0.834
0.000 0.377 0.501
0.000 0.623 0.000
0.248 0.623 0.334
0.252 0.377 0.834
0.500 0.377 0.500
0.500 0.623 0.001
0.748 0.377 0.834
0.752 0.623 0.334
```

---

Entry 8:
Density functional theory data (PBE-GGA) for Pm4HoTm4 after structural relaxation.

Computed properties:
Relative energy among the computed polymorphs: 0.084 eV per atom

```
Pm4HoTm4
1.0
8.430 -2.785 0.000
8.430 2.785 0.000
-2.704 0.000 6.198
Pm Ho Tm
4 1 4
Direct
0.134 0.134 0.459
0.280 0.280 0.214
0.720 0.720 0.786
0.866 0.866 0.541
0.500 0.500 0.500
0.071 0.071 0.874
0.378 0.378 0.830
0.622 0.622 0.170
0.929 0.929 0.126
```

---

Entry 9:
Density functional theory data (PBE-GGA) for PmHo12Tm6 after structural relaxation.

Computed properties:
Relative energy among the computed polymorphs: 0.281 eV per atom

```
PmHo12Tm6
1.0
7.436 4.293 3.345
-7.436 4.293 3.345
0.000 -8.587 3.345
Pm Ho Tm
1 12 6
Direct
0.000 0.000 0.000
0.111 0.500 0.889
0.111 0.889 0.500
0.144 0.365 0.365
0.365 0.144 0.365
0.365 0.365 0.144
0.500 0.111 0.889
0.500 0.889 0.111
0.635 0.635 0.856
0.635 0.856 0.635
0.856 0.635 0.635
0.889 0.111 0.500
0.889 0.500 0.111
0.270 0.689 0.689
0.311 0.311 0.730
0.311 0.730 0.311
0.689 0.270 0.689
0.689 0.689 0.270
0.730 0.311 0.311
```

---

Entry 10:
Density functional theory data (PBE-GGA) for PmHo3Tm4 after structural relaxation.

Computed properties:
Relative energy among the computed polymorphs: 0.020 eV per atom

```
PmHo3Tm4
1.0
3.528 0.000 0.000
0.000 7.038 0.000
0.000 0.000 9.928
Pm Ho Tm
1 3 4
Direct
0.000 0.000 0.000
0.000 0.000 0.500
0.000 0.500 0.000
0.000 0.500 0.500
0.500 0.252 0.251
0.500 0.252 0.749
0.500 0.748 0.251
0.500 0.748 0.749
```

---

Entry 11:
Density functional theory data (PBE-GGA) for Pm6HoTm8 after structural relaxation.

```
Pm6HoTm8
1.0
4.506 2.602 6.910
-4.506 2.602 6.910
0.000 -5.203 6.910
Pm Ho Tm
6 1 8
Direct
0.038 0.605 0.725
0.275 0.962 0.395
0.395 0.275 0.962
0.605 0.725 0.038
0.725 0.038 0.605
0.962 0.395 0.275
0.500 0.500 0.500
0.077 0.077 0.077
0.218 0.611 0.248
0.248 0.218 0.611
0.389 0.752 0.782
0.611 0.248 0.218
0.752 0.782 0.389
0.782 0.389 0.752
0.923 0.923 0.923
```

---

Entry 12:
Density functional theory data (PBE-GGA) for PmHo2Tm3 after structural relaxation.

Computed properties:
Relative energy among the computed polymorphs: 0.000 eV per atom

```
PmHo2Tm3
1.0
10.891 -1.804 0.000
10.891 1.804 0.000
-5.735 0.000 9.595
Pm Ho Tm
2 4 6
Direct
0.112 0.112 0.486
0.888 0.888 0.514
0.224 0.224 0.850
0.443 0.443 0.314
0.557 0.557 0.686
0.776 0.776 0.150
0.111 0.111 0.988
0.221 0.221 0.345
0.445 0.445 0.823
0.555 0.555 0.177
0.779 0.779 0.655
0.889 0.889 0.012
```

---

Entry 13:
Density functional theory data (PBE-GGA) for Pm6Ho2Tm5 after structural relaxation.

```
Pm6Ho2Tm5
1.0
11.637 0.000 0.000
0.000 20.348 0.000
0.000 0.000 3.598
Pm Ho Tm
12 4 10
Direct
0.059 0.080 0.000
0.083 0.367 0.000
0.172 0.633 0.500
0.328 0.133 0.500
0.417 0.867 0.000
0.441 0.580 0.000
0.559 0.420 0.000
0.583 0.133 0.000
0.672 0.867 0.500
0.828 0.367 0.500
0.917 0.633 0.000
0.941 0.920 0.000
0.164 0.789 0.000
0.336 0.289 0.000
0.664 0.711 0.000
0.836 0.211 0.000
0.000 0.500 0.500
0.094 0.226 0.500
0.199 0.945 0.500
0.301 0.445 0.500
0.406 0.726 0.500
0.500 0.000 0.500
0.594 0.274 0.500
0.699 0.555 0.500
0.801 0.055 0.500
0.906 0.774 0.500
```

---

Entry 14:
Density functional theory data (PBE-GGA) for Pm4HoTm8 after structural relaxation.

```
Pm4HoTm8
1.0
3.679 2.124 8.860
-3.679 2.124 8.860
0.000 -4.248 8.860
Pm Ho Tm
4 1 8
Direct
0.000 0.000 0.000
0.000 0.500 0.500
0.500 0.000 0.500
0.500 0.500 0.000
0.500 0.500 0.500
0.188 0.749 0.749
0.217 0.217 0.217
0.251 0.251 0.812
0.251 0.812 0.251
0.749 0.188 0.749
0.749 0.749 0.188
0.783 0.783 0.783
0.812 0.251 0.251
```

---

Entry 15:
Density functional theory data (PBE-GGA) for Pm4HoTm3 after structural relaxation.

Computed properties:
Relative energy among the computed polymorphs: 0.000 eV per atom

```
Pm4HoTm3
1.0
11.427 0.000 0.000
0.000 7.286 0.000
0.000 0.000 6.275
Pm Ho Tm
8 2 6
Direct
0.000 0.128 0.000
0.000 0.871 0.504
0.248 0.128 0.338
0.252 0.872 0.838
0.500 0.129 0.004
0.500 0.872 0.500
0.748 0.872 0.838
0.752 0.128 0.338
0.000 0.622 0.004
0.500 0.378 0.504
0.000 0.380 0.504
0.250 0.379 0.837
0.250 0.621 0.337
0.500 0.620 0.004
0.750 0.379 0.837
0.750 0.621 0.337
```

---

Entry 16:
Density functional theory data (PBE-GGA) for PmHo5Tm7 after structural relaxation.

```
PmHo5Tm7
1.0
-3.331 5.474 5.723
3.331 -5.474 5.723
3.331 5.474 -5.723
Pm Ho Tm
1 5 7
Direct
0.000 0.000 0.000
0.428 0.432 0.460
0.428 0.968 0.996
0.697 0.197 0.500
0.972 0.432 0.004
0.972 0.968 0.540
0.120 0.450 0.670
0.201 0.701 0.500
0.277 0.948 0.330
0.390 0.390 0.000
0.618 0.948 0.670
0.696 0.696 0.000
0.780 0.450 0.330
```

---

Entry 17:
Density functional theory data (PBE-GGA) for PmHo4Tm7 after structural relaxation.

Computed properties:
Relative energy among the computed polymorphs: 0.206 eV per atom

```
PmHo4Tm7
1.0
5.993 -2.892 0.000
5.993 2.892 0.000
-5.875 0.000 11.049
Pm Ho Tm
1 4 7
Direct
0.000 0.000 0.000
0.248 0.248 0.683
0.368 0.368 0.225
0.632 0.632 0.775
0.752 0.752 0.317
0.059 0.059 0.328
0.211 0.211 0.923
0.365 0.365 0.497
0.500 0.500 0.000
0.635 0.635 0.503
0.789 0.789 0.077
0.941 0.941 0.672
```

---

Entry 18:
Density functional theory data (PBE-GGA) for Pm2HoTm7 after structural relaxation.

Computed properties:
Relative energy among the computed polymorphs: 0.136 eV per atom

```
Pm2HoTm7
1.0
3.204 -14.262 0.000
3.204 14.262 0.000
0.000 0.000 3.489
Pm Ho Tm
2 1 7
Direct
0.209 0.791 0.000
0.791 0.209 0.000
0.500 0.500 0.500
0.000 0.000 0.000
0.156 0.352 0.000
0.316 0.684 0.500
0.352 0.156 0.000
0.648 0.844 0.000
0.684 0.316 0.500
0.844 0.648 0.000
```

---

Number 1: ΔE_f 0.162 eV per atom. Number 2: ΔE_f 0.023 eV per atom. Number 3: ΔE_f 0.268 eV per atom. Number 4: ΔE_f 0.022 eV per atom. Number 5: ΔE_f 0.826 eV per atom. Number 6: ΔE_f 0.159 eV per atom. Number 7: ΔE_f 0.004 eV per atom. Number 8: ΔE_f 0.107 eV per atom. Number 9: ΔE_f 0.440 eV per atom. Number 10: ΔE_f 0.025 eV per atom. Number 11: ΔE_f 0.124 eV per atom. Number 12: ΔE_f 0.005 eV per atom. Number 13: ΔE_f 0.104 eV per atom. Number 14: ΔE_f 0.223 eV per atom. Number 15: ΔE_f 0.024 eV per atom. Number 16: ΔE_f 0.258 eV per atom. Number 17: ΔE_f 0.288 eV per atom. Number 18: ΔE_f 0.160 eV per atom.